Entry 1:
{
  "formula": "SmThTi2O8",
  "functional": "PBE",
  "state": "relaxed",
  "lattice_angstrom": [[5.267, 0.000, 0.000], [0.000, 5.267, 0.000], [-2.634, -2.634, 5.716]],
  "species": ["O", "O", "O", "O", "O", "O", "O", "O", "Ti", "Ti", "Th", "Sm"],
  "fractional_positions": [[0.081, 0.994, 0.670], [0.743, 0.839, 0.166], [0.006, 0.411, 0.330], [0.589, 0.676, 0.670], [0.673, 0.257, 0.834], [0.324, 0.919, 0.330], [0.161, 0.576, 0.834], [0.424, 0.327, 0.166], [0.250, 0.750, 0.500], [0.500, 0.500, 0.000], [0.000, 0.000, 0.000], [0.750, 0.250, 0.500]],
  "formation_energy_uncorrected_ev_per_atom": -3.17,
  "dft_energy_ev_per_atom": -8.799
}

Entry 2:
{
  "formula": "Sm2TiO",
  "functional": "PBE",
  "state": "relaxed",
  "lattice_angstrom": [[3.415, 0.000, 0.000], [1.708, 2.958, 0.000], [1.708, 0.986, 8.815]],
  "species": ["O", "Sm", "Sm", "Ti"],
  "fractional_positions": [[0.500, 0.500, 0.500], [0.888, 0.888, 0.336], [0.112, 0.112, 0.664], [0.000, 0.000, 0.000]],
  "formation_energy_uncorrected_ev_per_atom": -0.89,
  "dft_energy_ev_per_atom": -6.462
}